# 1
5
Lattice="4.036 0.000 0.753 1.960 3.541 0.683 -0.005 -0.024 11.213" Properties=species:S:1:pos:R:3 comment="Th2OsCl2 | Alexandria | PBE | optimized geometry" e_tot_ev_per_atom=-7.26 spacegroup="C2/m, No. 12" magnetic_moment_mub_per_fu=0.00 pbc="T T T"
Th 2.688 2.801 7.971
Th 3.303 0.717 4.679
Cl 3.609 3.243 3.037
Cl 2.381 0.275 9.613
Os 0.978 1.759 5.948

# 2
9
Lattice="4.149 0.000 0.004 -2.075 3.593 -0.004 -0.003 0.002 18.034" Properties=species:S:1:pos:R:3 comment="Th4Os2Cl3 | Alexandria | PBE | optimized geometry" e_tot_ev_per_atom=-7.53 spacegroup="C2/m, No. 12" magnetic_moment_mub_per_fu=0.00 pbc="T T T"
Th -2.072 3.592 12.641
Th -0.001 2.396 15.677
Th 4.144 0.003 5.393
Th 2.072 1.199 2.357
Os 2.075 1.197 14.233
Os -0.004 2.398 3.801
Cl 2.067 1.202 7.246
Cl 0.000 0.000 0.000
Cl 0.004 2.393 10.788

# 3
8
Lattice="5.250 0.000 0.000 0.000 5.250 0.000 2.625 2.625 5.831" Properties=species:S:1:pos:R:3 comment="TiOs2Cl | Alexandria | PBE | optimized geometry" e_tot_ev_per_atom=-6.79 spacegroup="I-42d, No. 122" magnetic_moment_mub_per_fu=0.00 de_polymorph_mev_per_atom=423 pbc="T T T"
Ti 0.000 0.000 0.000
Ti 5.250 2.625 2.915
Os 6.563 6.370 4.373
Os 3.938 4.131 4.373
Os 1.506 3.938 1.458
Os 3.745 1.313 1.458
Cl 2.625 5.250 2.915
Cl 2.625 2.625 0.000

# 4
4
Lattice="2.183 -2.032 3.246 -2.062 -0.966 3.775 -0.930 -4.193 0.993" Properties=species:S:1:pos:R:3 comment="TiOs2Cl | Alexandria | PBE | optimized geometry" e_tot_ev_per_atom=-7.21 spacegroup="Fm-3m, No. 225" magnetic_moment_mub_per_fu=0.00 de_polymorph_mev_per_atom=0 pbc="T T T"
Os -0.202 -1.798 2.003
Os -0.607 -5.394 6.010
Ti -0.404 -3.596 4.007
Cl 0.000 0.000 0.000